# 1
The following is a PBE calculation of a relaxed Zn2InSiO6 crystal, from Alexandria.

POSCAR file:
```
Zn2InSiO6
1.0
-3.086 -4.373 -4.389
-2.592 -5.092 3.491
-6.570 1.291 -0.072
Zn In Si O
4 2 2 12
Direct
0.419 0.713 0.619
0.081 0.381 0.287
0.581 0.287 0.381
0.919 0.619 0.713
0.250 0.797 0.203
0.750 0.203 0.797
0.250 0.147 0.853
0.750 0.853 0.147
0.290 0.888 0.855
0.210 0.145 0.112
0.710 0.112 0.145
0.790 0.855 0.888
0.540 0.773 0.292
0.960 0.708 0.227
0.460 0.227 0.708
0.040 0.292 0.773
0.167 0.713 0.545
0.333 0.455 0.287
0.833 0.287 0.455
0.667 0.545 0.713
```

Space-group type = C2/c, No. 15

---

# 2
The following is a PBE calculation of a relaxed Zn2InSiO crystal, from Alexandria.

POSCAR file:
```
Zn2InSiO
1.0
-1.653 -1.435 3.841
2.882 -3.101 0.081
2.785 2.646 2.187
Zn Si O In
2 1 1 1
Direct
0.000 0.000 0.500
0.500 0.000 0.000
0.000 0.500 0.000
0.000 0.000 0.000
0.500 0.500 0.500
```

Space-group type = P4/mmm, No. 123
Density of states at the Fermi level = 0.395 states/eV per atom

---

| no. | formation energy from raw total energies (eV/atom) | calculated density (g/cm³) |
| --- | --- | --- |
| 1 | -1.638 | 4.5 |
| 2 | 0.014 | 5.8 |